No. 1
VASP calculation (PBE-GGA) on an optimized crystal structure of Rb2LiBF6.

The volume is 283.2 Å³ per cell. The density of states at the Fermi level comes out at 0.0 states/eV per cell. The calculation puts the total magnetization at 0.000 μB per atom. The calculation puts the uncorrected formation energy at -2.59 eV per atom.

It has space group I4/mmm (No. 139), with a = 5.780 Å, b = 5.780 Å, c = 8.478 Å, α = 90.00°, β = 90.00° and γ = 90.00°. The asymmetric unit holds Rb at (0.000, 0.500, 0.250), Li at (0.000, 0.000, 0.000), B at (0.000, 0.000, 0.500), F at (0.000, 0.000, 0.216) and F at (0.186, 0.186, 0.500).

***

No. 2
VASP calculation (PBE-GGA) on an optimized crystal structure of LiReB2F.

The volume is 70.7 Å³ per cell. The density of states at the Fermi level comes out at 2.5 states/eV per cell. The calculation puts the total magnetization at 0.000 μB per atom. The calculation puts the uncorrected formation energy at 0.16 eV per atom.

It has space group P4/mmm (No. 123), with a = 4.119 Å, b = 4.119 Å, c = 4.164 Å, α = 90.00°, β = 90.00° and γ = 90.00°. The asymmetric unit holds Li at (0.000, 0.000, 0.000), Re at (0.500, 0.500, 0.500), B at (0.000, 0.500, 0.500) and F at (0.500, 0.500, 0.000).

***

No. 3
VASP calculation (PBE-GGA) on an optimized crystal structure of LiBSe2F.

The volume is 78.2 Å³ per cell. The density of states at the Fermi level comes out at 3.9 states/eV per cell. The calculation puts the total magnetization at 0.000 μB per atom. The calculation puts the uncorrected formation energy at 0.30 eV per atom.

It has space group P4/mmm (No. 123), with a = 4.869 Å, b = 4.869 Å, c = 3.298 Å, α = 90.00°, β = 90.00° and γ = 90.00°. The asymmetric unit holds Li at (0.000, 0.000, 0.000), B at (0.500, 0.500, 0.500), Se at (0.000, 0.500, 0.000) and F at (0.000, 0.000, 0.500).

***

No. 4
VASP calculation (PBE-GGA) on an optimized crystal structure of LiSnBF6.

The volume is 127.4 Å³ per cell. The density of states at the Fermi level comes out at 0.0 states/eV per cell. The calculation puts the total magnetization at 0.000 μB per atom. The calculation puts the uncorrected formation energy at -2.69 eV per atom.

It has space group P1 (No. 1), with a = 4.953 Å, b = 5.270 Å, c = 5.385 Å, α = 84.15°, β = 84.44° and γ = 65.93°. The asymmetric unit holds Li at (0.000, 0.000, 0.000), Sn at (0.631, 0.742, 0.578), B at (0.377, 0.379, 0.117), F at (0.174, 0.256, 0.131), F at (0.202, 0.002, 0.680), F at (0.245, 0.649, 0.211), F at (0.487, 0.405, 0.863), F at (0.626, 0.211, 0.260) and F at (0.763, 0.813, 0.906).

***

No. 5
VASP calculation (PBE-GGA) on an optimized crystal structure of LiSnB2F8.

The volume is 177.8 Å³ per cell. The density of states at the Fermi level comes out at 1.7 states/eV per cell. The calculation puts the total magnetization at 0.085 μB per atom. The calculation puts the uncorrected formation energy at -2.57 eV per atom.

It has space group P-3m1 (No. 164), with a = 5.1203 Å, b = 5.1203 Å, c = 7.8307 Å, α = 90.00°, β = 90.00° and γ = 120.00°. The asymmetric unit holds Li at (0.0000, 0.0000, 0.0000), Sn at (0.0000, 0.0000, 0.5000), B at (0.3333, 0.6667, 0.7822), F at (0.1823, 0.3645, 0.8397) and F at (0.3333, 0.6667, 0.5995).

***

No. 6
VASP calculation (PBE-GGA) on an optimized crystal structure of Li2TiBF.

The volume is 119.8 Å³ per cell. The density of states at the Fermi level comes out at 3.6 states/eV per cell. The calculation puts the total magnetization at 0.357 μB per atom. The calculation puts the uncorrected formation energy at 0.71 eV per atom.

It has space group P4/mmm (No. 123), with a = 5.584 Å, b = 5.584 Å, c = 3.843 Å, α = 90.00°, β = 90.00° and γ = 90.00°. The asymmetric unit holds Li at (0.000, 0.500, 0.000), Ti at (0.000, 0.000, 0.000), B at (0.000, 0.000, 0.500) and F at (0.500, 0.500, 0.500).

***

No. 7
VASP calculation (PBE-GGA) on an optimized crystal structure of LiTl2BF6.

The volume is 146.8 Å³ per cell. The density of states at the Fermi level comes out at 0.0 states/eV per cell. The calculation puts the total magnetization at 0.000 μB per atom. The calculation puts the uncorrected formation energy at -2.22 eV per atom.

It has space group P-3m1 (No. 164), with a = 5.8930 Å, b = 5.8930 Å, c = 4.8808 Å, α = 90.00°, β = 90.00° and γ = 120.00°. The asymmetric unit holds Li at (0.0000, 0.0000, 0.0000), Tl at (0.3333, 0.6667, 0.2723), B at (0.0000, 0.0000, 0.5000) and F at (0.1312, 0.2625, 0.6978).

***

No. 8
VASP calculation (PBE-GGA) on an optimized crystal structure of LiTlB2F8.

The volume is 492.8 Å³ per cell. The density of states at the Fermi level comes out at 0.0 states/eV per cell. The calculation puts the total magnetization at 0.000 μB per atom. The calculation puts the uncorrected formation energy at -2.80 eV per atom.

It has space group R-3 (No. 148, hexagonal axes), with a = 4.9680 Å, b = 4.9680 Å, c = 23.0576 Å, α = 90.00°, β = 90.00° and γ = 120.00°. The asymmetric unit holds Li at (0.0000, 0.0000, 0.0000), Tl at (0.0000, 0.0000, 0.5000), B at (0.0000, 0.0000, 0.2619), F at (0.0000, 0.0000, 0.1995) and F at (0.0420, 0.4239, 0.3859).

***

Q: Look up the total magnetization of the third one.
A: 0.000 μB per atom

***

Repeat the fifth record exactly.
VASP calculation (PBE-GGA) on an optimized crystal structure of LiSnB2F8.

The volume is 177.8 Å³ per cell. The density of states at the Fermi level comes out at 1.7 states/eV per cell. The calculation puts the total magnetization at 0.085 μB per atom. The calculation puts the uncorrected formation energy at -2.57 eV per atom.

It has space group P-3m1 (No. 164), with a = 5.1203 Å, b = 5.1203 Å, c = 7.8307 Å, α = 90.00°, β = 90.00° and γ = 120.00°. The asymmetric unit holds Li at (0.0000, 0.0000, 0.0000), Sn at (0.0000, 0.0000, 0.5000), B at (0.3333, 0.6667, 0.7822), F at (0.1823, 0.3645, 0.8397) and F at (0.3333, 0.6667, 0.5995).

***

Q: Which of these has the highest total magnetization?
A: Li2TiBF

***

Q: What is the total magnetization in the fifth record?
A: 0.085 μB per atom